[1]
A plane-wave DFT calculation with PBE was carried out for a relaxed RbCd2Sn5 crystal.

Energy of formation from the pure elements in eV/atom: -0.009
Total moment in μB per cell: 0.0
Volume in Å³/atom: 30.71

Unit cell a=4.492 b=7.899 c=7.899 alpha=69.03 beta=73.48 gamma=73.48
Element x y z (fractional)
Sn 0.645 0.548 0.162
Sn 0.645 0.162 0.548
Sn 0.000 0.500 0.500
Sn 0.355 0.838 0.452
Sn 0.355 0.452 0.838
Cd 0.742 0.758 0.758
Cd 0.258 0.242 0.242
Rb 0.000 0.000 0.000


[2]
A plane-wave DFT calculation with PBE was carried out for a relaxed Rb2ZrPd2S4 crystal.

Formation energy (no corrections) in kJ per mole of atoms: -94.15
Total moment in μB per cell: 0.0
Volume in Å³/atom: 23.44

Unit cell a=3.818 b=7.923 c=7.616 alpha=108.30 beta=104.51 gamma=90.00
Element x y z (fractional)
S 0.185 0.185 0.371
S 0.815 0.815 0.629
S 0.515 0.782 0.030
S 0.485 0.218 0.970
Pd 0.683 0.009 0.366
Pd 0.317 0.991 0.634
Zr 0.000 0.000 0.000
Rb 0.868 0.433 0.736
Rb 0.132 0.567 0.264


[3]
A plane-wave DFT calculation with PBE was carried out for a relaxed CuH2Pd crystal.

Total moment in μB per cell: 0.0
Polymorph energy (0 for the lowest one) in eV per atom: 0.346
Volume in Å³/atom: 8.54

Unit cell a=3.642 b=3.642 c=3.642 alpha=60.00 beta=60.00 gamma=60.00
Element x y z (fractional)
Cu 0.000 0.000 0.000
H 0.750 0.750 0.750
H 0.250 0.250 0.250
Pd 0.500 0.500 0.500


[4]
A plane-wave DFT calculation with PBE was carried out for a relaxed HfAl3Fe crystal.

Energy of formation from the pure elements in eV/atom: 0.092
Total moment in μB per cell: 0.0
Polymorph energy (0 for the lowest one) in eV per atom: 0.416
Volume in Å³/atom: 17.16

Unit cell a=4.410 b=4.410 c=4.410 alpha=90.00 beta=90.00 gamma=90.00
Element x y z (fractional)
Hf 0.500 0.500 0.500
Al 0.500 0.000 0.000
Al 0.000 0.000 0.500
Al 0.000 0.500 0.000
Fe 0.000 0.000 0.000


[5]
A plane-wave DFT calculation with PBE was carried out for a relaxed AuSe3 crystal.

Formation energy (no corrections) in kJ per mole of atoms: 72.35
Total moment in μB per cell: 0.0
Volume in Å³/atom: 21.03

Unit cell a=5.520 b=5.520 c=5.520 alpha=90.00 beta=90.00 gamma=90.00
Element x y z (fractional)
Se 0.750 0.500 0.000
Se 0.000 0.250 0.500
Se 0.500 0.000 0.250
Se 0.500 0.000 0.750
Se 0.000 0.750 0.500
Se 0.250 0.500 0.000
Au 0.500 0.500 0.500
Au 0.000 0.000 0.000


[6]
A plane-wave DFT calculation with PBE was carried out for a relaxed TbPmGa crystal.

Energy of formation from the pure elements in eV/atom: -0.352
Total moment in μB per cell: 0.0
Polymorph energy (0 for the lowest one) in eV per atom: 0.032
Volume in Å³/atom: 27.54

Unit cell a=3.524 b=3.524 c=7.105 alpha=104.36 beta=104.36 gamma=90.00
Element x y z (fractional)
Tb 0.024 0.024 0.048
Pm 0.313 0.313 0.625
Ga 0.663 0.663 0.327


[7]
A plane-wave DFT calculation with PBE was carried out for a relaxed LiNdAl2 crystal.

Energy of formation from the pure elements in eV/atom: -0.050
Total moment in μB per cell: 0.0
Polymorph energy (0 for the lowest one) in eV per atom: 0.205
Volume in Å³/atom: 21.26

Unit cell a=4.513 b=5.241 c=4.449 alpha=126.08 beta=90.00 gamma=90.00
Element x y z (fractional)
Nd 0.500 0.500 0.000
Li 0.500 0.000 0.000
Al 0.000 0.816 0.631
Al 0.000 0.184 0.369


[8]
A plane-wave DFT calculation with PBE was carried out for a relaxed KFe2I7 crystal.

Formation energy (no corrections) in kJ per mole of atoms: -32.41
Total moment in μB per cell: 8.0
Volume in Å³/atom: 45.24

Unit cell a=4.350 b=10.426 c=12.137 alpha=124.72 beta=90.00 gamma=90.00
Element x y z (fractional)
Fe 0.500 0.839 0.634
Fe 0.500 0.161 0.366
I 0.500 0.500 0.000
I 0.000 0.778 0.487
I 0.000 0.222 0.513
I 0.500 0.693 0.744
I 0.500 0.131 0.827
I 0.500 0.307 0.256
I 0.500 0.869 0.173
K 0.000 0.000 0.000


[9]
A plane-wave DFT calculation with PBE was carried out for a relaxed Ac2Pm5Nd2 crystal.

Energy of formation from the pure elements in eV/atom: 0.229
Total moment in μB per cell: 0.0
Polymorph energy (0 for the lowest one) in eV per atom: 0.185
Volume in Å³/atom: 37.28

Unit cell a=9.881 b=8.825 c=10.154 alpha=115.76 beta=119.11 gamma=90.00
Element x y z (fractional)
Pm 0.559 0.256 0.701
Pm 0.858 0.246 0.060
Pm 0.358 0.056 0.299
Pm 0.082 0.134 0.500
Pm 0.918 0.634 0.500
Pm 0.642 0.756 0.701
Pm 0.298 0.686 0.940
Pm 0.441 0.556 0.299
Pm 0.142 0.186 0.940
Pm 0.702 0.746 0.060
Nd 0.262 0.454 0.500
Nd 0.500 0.394 0.000
Nd 0.000 0.894 0.000
Nd 0.738 0.954 0.500
Ac 0.661 0.180 0.251
Ac 0.910 0.429 0.749
Ac 0.339 0.929 0.749
Ac 0.090 0.680 0.251


[10]
A plane-wave DFT calculation with PBE was carried out for a relaxed LaIrCl2 crystal.

Formation energy (no corrections) in kJ per mole of atoms: -26.43
Total moment in μB per cell: 1.9
Polymorph energy (0 for the lowest one) in eV per atom: 0.712
Volume in Å³/atom: 22.74

Unit cell a=3.642 b=4.098 c=6.096 alpha=90.00 beta=90.00 gamma=90.00
Element x y z (fractional)
Cl 0.000 0.000 0.988
Cl 0.000 0.000 0.512
Ir 0.500 0.500 0.250
La 0.500 0.500 0.750


[11]
A plane-wave DFT calculation with PBE was carried out for a relaxed In4TcIr crystal.

Energy of formation from the pure elements in eV/atom: 0.995
Total moment in μB per cell: 2.4
Volume in Å³/atom: 20.78

Unit cell a=5.608 b=5.608 c=5.608 alpha=60.00 beta=60.00 gamma=60.00
Element x y z (fractional)
Ir 0.750 0.750 0.750
In 0.875 0.375 0.375
In 0.375 0.375 0.875
In 0.375 0.375 0.375
In 0.375 0.875 0.375
Tc 0.000 0.000 0.000


[12]
A plane-wave DFT calculation with PBE was carried out for a relaxed Ta2AlAs crystal.

Energy of formation from the pure elements in eV/atom: 0.182
Total moment in μB per cell: 0.0
Polymorph energy (0 for the lowest one) in eV per atom: 0.398
Volume in Å³/atom: 18.42

Unit cell a=3.911 b=3.911 c=10.019 alpha=78.74 beta=78.74 gamma=90.00
Element x y z (fractional)
Ta 0.130 0.625 0.250
Ta 0.620 0.125 0.250
Ta 0.375 0.380 0.750
Ta 0.875 0.870 0.750
Al 0.250 0.750 0.500
Al 0.500 0.500 0.000
As 0.750 0.250 0.500
As 0.000 0.000 0.000